Here is a relaxed BaLiBeH6 crystal from Alexandria via LeMat-Bulk. Energies are from PBE.

Output
The space group is P-6m2. For the total energy, the calculation gives -3.170 eV per atom. The value obtained for the mass density is 2.86 g/cm³.

abc: 4.6829 4.6829 4.8645
angles: 89.99 90.01 60.06
Sites, in units of the cell vectors:
Ba1 0.0000 0.0000 0.0000
Li1 0.6668 0.6668 0.5000
Be1 0.3332 0.3333 0.5000
H1 0.0337 0.4836 0.2845
H2 0.4836 0.0338 0.7155
H3 0.4822 0.4841 0.7156
H4 0.0335 0.4826 0.7160
H5 0.4841 0.4823 0.2844
H6 0.4826 0.0336 0.2840

Here is a relaxed KNaMg2Hg4 crystal from Alexandria via LeMat-Bulk. Energies are from PBE.

Output
The space group is R-3m. For the total energy, the calculation gives -1.036 eV per atom. The value obtained for the mass density is 6.82 g/cm³. Its formation energy is -0.185 eV per atom.

abc: 5.0132 5.0132 10.6128
angles: 76.34 76.34 60.00
Sites, in units of the cell vectors:
K1 0.0000 0.0000 0.0000
Na1 0.5000 0.5000 0.5000
Mg1 0.7684 0.7684 0.6947
Mg2 0.2316 0.2316 0.3053
Hg1 0.4004 0.4004 0.7989
Hg2 0.8773 0.8773 0.3682
Hg3 0.1227 0.1227 0.6318
Hg4 0.5996 0.5996 0.2011

Which value of mass density does entry 2 give?
6.82 g/cm³

Which value of mass density does entry 1 give?
2.86 g/cm³